## PmCo3Si3 (PBE-GGA)

Data for a geometry-optimized PmCo3Si3 structure.

## Properties
- N(E_F) (states/eV/atom) = 1.1095
- DFT total energy (eV/atom) = -6.272
- energy relative to the elements, uncorrected (eV per atom) = -0.224
- symmetry = Pm-3n (223)
- total magnetic moment (μB/atom) = 0.000
- relative energy among the computed polymorphs (meV/atom) = 83

Unit cell a=6.194 b=6.194 c=6.194 alpha=90.00 beta=90.00 gamma=90.00
Fractional positions:
Pm  0.000  0.000  0.000
Pm  0.500  0.500  0.500
Co  0.000  0.250  0.500
Co  0.000  0.750  0.500
Co  0.250  0.500  0.000
Co  0.500  0.000  0.250
Co  0.500  0.000  0.750
Co  0.750  0.500  0.000
Si  0.000  0.500  0.250
Si  0.000  0.500  0.750
Si  0.250  0.000  0.500
Si  0.500  0.250  0.000
Si  0.500  0.750  0.000
Si  0.750  0.000  0.500